Record 1
Computed, not measured: a relaxed AlReTe2 crystal at the GGA-PBE level of DFT.

Cell lengths 3.3210, 3.5271, 8.5469 Å; angles 78.15, 90.00, 90.00 degrees
Atoms (fractional coordinates):
Re1 0.5000 0.9774 0.6702
Te1 0.0000 0.8533 0.9202
Te2 0.5000 0.1420 0.3393
Al1 0.0000 0.5272 0.5702

Calculated values
As for the symmetry: Pm, No. 6. For the density of states at the Fermi level, the calculation gives 2.0 states/eV per cell.

=====

Record 2
Computed, not measured: a relaxed Al2ReTe crystal at the GGA-PBE level of DFT.

Cell lengths 4.8493, 4.8493, 3.1086 Å; angles 90.00, 90.00, 109.76 degrees
Atoms (fractional coordinates):
Re1 0.5000 0.0000 0.5000
Te1 0.0000 0.5000 0.5000
Al1 0.0000 0.0000 0.0000
Al2 0.5000 0.5000 0.0000

Calculated values
As for the symmetry: Cmmm, No. 65. For the density of states at the Fermi level, the calculation gives 2.6 states/eV per cell.

=====

Record 3
Computed, not measured: a relaxed AlReTe2 crystal at the GGA-PBE level of DFT.

Cell lengths 5.1840, 5.1840, 5.1840 Å; angles 129.83, 129.83, 73.68 degrees
Atoms (fractional coordinates):
Re1 0.7500 0.2500 0.5000
Te1 0.0000 0.0000 0.0000
Te2 0.2500 0.7500 0.5000
Al1 0.5000 0.5000 0.0000

Calculated values
As for the symmetry: I-4m2, No. 119. For the density of states at the Fermi level, the calculation gives 3.0 states/eV per cell.

=====

Record 4
Computed, not measured: a relaxed Al2ReTe crystal at the GGA-PBE level of DFT.

Cell lengths 2.9928, 2.9928, 9.7838 Å; angles 90.00, 90.00, 117.79 degrees
Atoms (fractional coordinates):
Re1 0.0000 0.0000 0.4832
Te1 0.5000 0.5000 0.7123
Al1 0.0000 0.0000 0.0327
Al2 0.5000 0.5000 0.2717

Calculated values
As for the symmetry: Cmm2, No. 35. For the density of states at the Fermi level, the calculation gives 2.5 states/eV per cell.

=====

Record 5
Computed, not measured: a relaxed AlReTe2 crystal at the GGA-PBE level of DFT.

Cell lengths 8.8718, 8.8718, 8.8718 Å; angles 23.32, 23.32, 23.32 degrees
Atoms (fractional coordinates):
Re1 0.0000 0.0000 0.0000
Te1 0.9015 0.9015 0.9015
Te2 0.0985 0.0985 0.0985
Al1 0.5000 0.5000 0.5000

Calculated values
As for the symmetry: R-3m, No. 166. For the density of states at the Fermi level, the calculation gives 3.5 states/eV per cell.

=====

Record 6
Computed, not measured: a relaxed AlReTe2 crystal at the GGA-PBE level of DFT.

Cell lengths 4.2366, 4.2366, 6.9541 Å; angles 78.02, 78.02, 49.17 degrees
Atoms (fractional coordinates):
Re1 0.2500 0.2500 0.2500
Te1 0.9935 0.9935 0.0370
Te2 0.5065 0.5065 0.4630
Al1 0.7500 0.7500 0.7500

Calculated values
As for the symmetry: C2/m, No. 12. For the density of states at the Fermi level, the calculation gives 1.8 states/eV per cell.

=====

no.,total moment (Bohr magnetons per cell),E (eV/atom),uncorrected formation energy (eV per atom)
1,0.00,-5.5784,0.04
2,0.00,-5.3799,0.39
3,0.00,-4.8005,0.82
4,0.00,-5.2917,0.48
5,0.00,-4.6908,0.93
6,0.00,-5.1717,0.45